A relaxed InRePt2W crystal, computed with GGA-PBE.

Lattice parameters (Å, degrees): 4.8119 5.0233 4.8119 90.00 90.00 90.00
Fractional positions:
Pt1 0.5000 0.0000 0.0000
Pt2 0.0000 0.0000 0.5000
W1 0.5000 0.5000 0.5000
Re1 0.0000 0.0000 0.0000
In1 0.0000 0.5000 0.0000

Properties
The total DFT energy (no corrections) comes out at -6.222 eV/atom.

A relaxed In6PtRh5 crystal, computed with GGA-PBE.

Lattice parameters (Å, degrees): 4.6682 6.2939 7.3833 90.00 71.59 90.00
Fractional positions:
In1 0.5000 0.7478 0.0000
In2 0.8314 0.2508 0.3372
In3 0.8314 0.7492 0.3372
In4 0.1686 0.2508 0.6628
In5 0.5000 0.2522 0.0000
In6 0.1686 0.7492 0.6628
Rh1 0.3351 0.5000 0.3298
Rh2 0.6661 0.0000 0.6679
Rh3 0.6649 0.5000 0.6702
Rh4 0.3339 0.0000 0.3321
Rh5 0.0000 0.5000 0.0000
Pt1 0.0000 0.0000 0.0000

Properties
The total DFT energy (no corrections) comes out at -5.341 eV/atom.

A relaxed InPtRh crystal, computed with GGA-PBE.

Lattice parameters (Å, degrees): 4.5605 4.5603 5.6418 90.00 90.00 120.00
Fractional positions:
Pt1 0.6669 0.8337 0.2500
Pt2 0.3331 0.1663 0.7500
Rh1 0.0000 0.5000 0.5000
Rh2 0.0000 0.5000 0.0000
In1 0.6665 0.8330 0.7500
In2 0.3335 0.1670 0.2500

Properties
The total DFT energy (no corrections) comes out at -5.619 eV/atom. The value obtained for the distance to the lowest polymorph of the same formula is 0.040 eV/atom.

A relaxed InPt7Rh2 crystal, computed with GGA-PBE.

Lattice parameters (Å, degrees): 4.2784 7.4198 7.4198 121.93 90.00 90.00
Fractional positions:
Rh1 0.5000 0.3016 0.6984
Rh2 0.5000 0.6984 0.3016
Pt1 0.0000 0.7967 0.2033
Pt2 0.0000 0.2033 0.7967
Pt3 0.5000 0.7047 0.9220
Pt4 0.5000 0.5000 0.5000
Pt5 0.5000 0.9220 0.7047
Pt6 0.5000 0.2953 0.0780
Pt7 0.5000 0.0780 0.2953
In1 0.0000 0.0000 0.0000

Properties
The total DFT energy (no corrections) comes out at -5.628 eV/atom.

no.,total magnetic moment (μB/f.u.),formation energy from the elements (eV per atom)
1,3.3,1.822
2,0.0,-0.405
3,0.0,-0.242
4,0.0,0.345